--- a ---
DFT (GGA-PBE) results for a relaxed structure of SrTmZn4.

Output
ρ = 6.4 g/cm³
M_tot = 0.0 μB per formula unit

Lattice parameters (Å, degrees): 4.5429 4.5429 7.5440 90.00 90.00 120.00
Space group P6/mmm (No. 191)
Asymmetric unit:
Sr 0.0000 0.0000 0.0000 [1 per cell]
Tm 0.0000 0.0000 0.5000 [1 per cell]
Zn 0.3333 0.6667 0.3050 [4 per cell]

---

--- b ---
DFT (GGA-PBE) results for a relaxed structure of SrTmZn4.

Output
ρ = 7.0 g/cm³
M_tot = 0.0 μB per formula unit

Lattice parameters (Å, degrees): 7.8973 7.8973 7.8973 90.00 90.00 90.00
Space group F-43m (No. 216)
Asymmetric unit:
Sr 0.0000 0.0000 0.0000 [4 per cell]
Tm 0.2500 0.2500 0.7500 [4 per cell]
Zn 0.1237 0.1237 0.3763 [16 per cell]

---

Short version: a, b, most stable first.